# AcYLu

A geometry-optimized AcYLu structure (PBE-GGA, Alexandria via LeMat-Bulk).

```
data_AcYLu
_cell_length_a 5.8355
_cell_length_b 5.8355
_cell_length_c 3.5693
_cell_angle_alpha 90.00
_cell_angle_beta 90.00
_cell_angle_gamma 120.00
_symmetry_space_group_name_H-M 'P -6 m 2'
_symmetry_Int_Tables_number 187
_symmetry_space_group_name_Hall 'P -6 2'
loop_
_atom_site_label
_atom_site_type_symbol
_atom_site_fract_x
_atom_site_fract_y
_atom_site_fract_z
_atom_site_occupancy
Ac1 Ac 0.0000 0.0000 0.0000 1
Y1 Y 0.6667 0.3333 0.5000 1
Lu1 Lu 0.3333 0.6667 0.0000 1
```

## Properties
Its final energy is -14.6 eV per cell. The value obtained for the formation energy is 0.153 eV/atom. For the density of states at the Fermi level, the calculation gives 1.699 states/eV/atom. As for the total magnetization: 0.0 μB/f.u.